# 1
A plane-wave DFT calculation with GGA-PBE was carried out for an optimized crystal structure of Tb4NdEr7.

Energy relative to the elements in eV per atom: 0.28
Excess energy over the best structure of this formula in the dataset in eV/f.u.: 2.28

The structure in extended XYZ format:
```
12
Lattice="6.023 -2.919 0.000 6.023 2.919 0.000 -5.900 0.000 11.118" Properties=species:S:1:pos:R:3 pbc="T T T"
Tb -0.018 0.000 3.059
Tb -1.773 0.000 9.105
Tb 7.918 0.000 2.013
Tb 6.163 0.000 8.060
Nd 3.073 0.000 5.559
Er -2.950 0.000 5.559
Er 1.606 0.000 0.025
Er 0.074 0.000 6.417
Er 4.282 0.000 1.913
Er 1.863 0.000 9.205
Er 6.071 0.000 4.701
Er 4.539 0.000 11.094
```

=====

# 2
A plane-wave DFT calculation with GGA-PBE was carried out for an optimized crystal structure of Pr2Er5Sb4.

Formation energy from raw total energies in eV/atom: -0.33

The structure in extended XYZ format:
```
11
Lattice="10.794 -1.727 0.000 10.794 1.727 0.000 -4.363 0.000 10.519" Properties=species:S:1:pos:R:3 pbc="T T T"
Pr -0.755 0.000 3.631
Pr 17.981 0.000 6.888
Er -1.465 0.000 9.514
Er 1.800 0.000 9.080
Er 10.794 0.000 0.000
Er 15.425 0.000 1.439
Er 18.691 0.000 1.005
Sb -0.287 0.000 6.750
Sb 1.966 0.000 1.957
Sb 15.259 0.000 8.561
Sb 17.512 0.000 3.768
```

=====

# 3
A plane-wave DFT calculation with GGA-PBE was carried out for an optimized crystal structure of CaTeCl2.

Excess energy over the best structure of this formula in the dataset in eV/f.u.: 1.14
Formation energy from raw total energies in eV/atom: -1.17

The structure in extended XYZ format:
```
8
Lattice="-4.351 4.351 3.447 4.351 -4.351 3.447 4.351 4.351 -3.447" Properties=species:S:1:pos:R:3 pbc="T T T"
Ca 0.000 0.000 0.000
Ca 0.000 4.351 1.724
Te 4.351 0.000 1.724
Te 0.000 0.000 3.447
Cl 6.527 1.368 -0.862
Cl 1.368 2.176 0.862
Cl -2.176 2.984 2.585
Cl 2.984 2.176 4.309
```

=====

# 4
A plane-wave DFT calculation with GGA-PBE was carried out for an optimized crystal structure of NaPtAu2S.

Formation energy from raw total energies in eV/atom: 0.39

The structure in extended XYZ format:
```
5
Lattice="4.701 0.000 0.000 0.000 4.701 0.000 0.000 0.000 4.847" Properties=species:S:1:pos:R:3 pbc="T T T"
Na 0.000 0.000 0.000
Pt 2.351 2.351 0.000
Au 0.000 2.351 2.424
Au 2.351 0.000 2.424
S 0.000 0.000 2.424
```

=====

# 5
A plane-wave DFT calculation with GGA-PBE was carried out for an optimized crystal structure of AcPaPd4.

Energy relative to the elements in eV per atom: -0.53

The structure in extended XYZ format:
```
6
Lattice="0.000 3.927 3.927 3.927 0.000 3.927 3.927 3.927 0.000" Properties=species:S:1:pos:R:3 pbc="T T T"
Ac 0.000 0.000 0.000
Pa 5.890 5.890 5.890
Pd 2.952 2.952 2.952
Pd 4.902 4.902 2.952
Pd 4.902 2.952 4.902
Pd 2.952 4.902 4.902
```

=====

# 6
A plane-wave DFT calculation with GGA-PBE was carried out for an optimized crystal structure of UPd2Ru.

Energy relative to the elements in eV per atom: -0.04

The structure in extended XYZ format:
```
4
Lattice="0.000 3.275 3.275 3.275 0.000 3.275 3.275 3.275 0.000" Properties=species:S:1:pos:R:3 pbc="T T T"
U 0.000 0.000 0.000
Pd 1.637 1.637 1.637
Pd 4.912 4.912 4.912
Ru 3.275 3.275 3.275
```

=====

# 7
A plane-wave DFT calculation with GGA-PBE was carried out for an optimized crystal structure of AlCo2Ir2.

Energy relative to the elements in eV per atom: 0.03
Excess energy over the best structure of this formula in the dataset in eV/f.u.: 0.00

The structure in extended XYZ format:
```
10
Lattice="7.015 0.000 0.000 0.000 7.015 0.000 0.000 0.000 2.756" Properties=species:S:1:pos:R:3 pbc="T T T"
Al 0.000 0.000 0.000
Al 3.507 3.507 0.000
Co 0.838 2.670 0.000
Co 2.670 6.177 0.000
Co 4.345 0.838 0.000
Co 6.177 4.345 0.000
Ir 1.244 4.751 1.378
Ir 2.264 1.244 1.378
Ir 4.751 5.771 1.378
Ir 5.771 2.264 1.378
```

=====

# 8
A plane-wave DFT calculation with GGA-PBE was carried out for an optimized crystal structure of La3Sm2Ho4.

Energy relative to the elements in eV per atom: 0.09
Excess energy over the best structure of this formula in the dataset in eV/f.u.: 0.00

The structure in extended XYZ format:
```
9
Lattice="5.864 -2.900 0.000 5.864 2.900 0.000 -2.002 0.000 9.010" Properties=species:S:1:pos:R:3 pbc="T T T"
La 0.000 0.000 0.000
La 0.067 0.000 6.232
La 9.658 0.000 2.778
Sm 3.711 0.000 6.291
Sm 6.014 0.000 2.719
Ho 1.931 0.000 3.316
Ho 3.706 0.000 0.348
Ho 6.019 0.000 8.662
Ho 7.793 0.000 5.694
```

=====

# 9
A plane-wave DFT calculation with GGA-PBE was carried out for an optimized crystal structure of MnSbC3.

Excess energy over the best structure of this formula in the dataset in eV/f.u.: 0.00
Formation energy from raw total energies in eV/atom: 1.85

The structure in extended XYZ format:
```
5
Lattice="3.883 0.000 0.000 0.000 3.883 0.000 0.000 0.000 3.883" Properties=species:S:1:pos:R:3 pbc="T T T"
Mn 0.000 0.000 0.000
Sb 1.941 1.941 1.941
C 0.000 0.000 1.941
C 0.000 1.941 0.000
C 1.941 0.000 0.000
```

=====

# 10
A plane-wave DFT calculation with GGA-PBE was carried out for an optimized crystal structure of Rb2ZrP2.

Energy relative to the elements in eV per atom: 1.06
Excess energy over the best structure of this formula in the dataset in eV/f.u.: 1.87

The structure in extended XYZ format:
```
5
Lattice="-2.868 2.868 4.593 2.868 -2.868 4.593 2.868 2.868 -4.593" Properties=species:S:1:pos:R:3 pbc="T T T"
Rb 0.000 0.000 1.401
Rb 0.000 0.000 7.785
Zr 0.000 0.000 4.593
P 2.868 0.000 2.296
P 0.000 2.868 2.296
```

=====

# 11
A plane-wave DFT calculation with GGA-PBE was carried out for an optimized crystal structure of NaScO2F.

Formation energy from raw total energies in eV/atom: -2.53

The structure in extended XYZ format:
```
5
Lattice="4.094 0.000 0.000 0.000 4.094 0.000 0.000 0.000 4.206" Properties=species:S:1:pos:R:3 pbc="T T T"
Na 0.000 0.000 0.000
Sc 2.047 2.047 2.103
O 0.000 2.047 2.103
O 2.047 0.000 2.103
F 2.047 2.047 0.000
```

=====

# 12
A plane-wave DFT calculation with GGA-PBE was carried out for an optimized crystal structure of LaPuBiO6.

Formation energy from raw total energies in eV/atom: -2.37

The structure in extended XYZ format:
```
18
Lattice="6.022 0.000 0.000 -3.011 5.215 0.000 0.000 0.000 9.244" Properties=species:S:1:pos:R:3 pbc="T T T"
La 0.000 3.477 2.311
La 3.011 1.738 6.933
Pu 0.000 3.477 6.933
Pu 3.011 1.738 2.311
Bi 0.000 0.000 0.000
Bi 0.000 0.000 4.622
O -0.852 1.920 5.842
O -1.774 3.517 8.024
O 0.852 1.920 8.024
O -0.922 4.993 5.842
O 2.089 0.222 1.220
O 1.237 1.698 3.402
O 1.774 3.517 5.842
O 0.922 4.993 8.024
O 3.932 0.222 3.402
O 2.158 3.295 1.220
O 4.785 1.698 1.220
O 3.863 3.295 3.402
```